Material: Nd3MgAgHg3Pt
Method: DFT, PBE
State: relaxed

Cell and atoms, written as POSCAR:
```
Nd3MgAgHg3Pt
1.0
8.157 0.000 0.000
-4.078 7.064 0.000
0.000 0.000 3.893
Nd Mg Ag Hg Pt
3 1 1 3 1
Direct
0.081 0.371 0.000 Nd
0.290 0.919 0.000 Nd
0.629 0.710 0.000 Nd
0.000 0.000 0.500 Mg
0.667 0.333 0.000 Ag
0.380 0.309 0.500 Hg
0.691 0.070 0.500 Hg
0.930 0.620 0.500 Hg
0.333 0.667 0.500 Pt
```

Space-group type: P-6 (174)
Magnetic moment (μB per formula unit): 0.02
Final energy (eV/atom): -3.37